{
  "formula": "Ac4Al2Cd",
  "functional": "PBE",
  "state": "optimized geometry",
  "lattice_angstrom": [[2.810, 1.622, 9.014], [-2.810, 1.622, 9.014], [0.000, -3.245, 9.014]],
  "species": ["Ac", "Ac", "Ac", "Ac", "Al", "Al", "Cd"],
  "frac_coords": [[0.120, 0.120, 0.120], [0.372, 0.372, 0.372], [0.628, 0.628, 0.628], [0.880, 0.880, 0.880], [0.248, 0.248, 0.248], [0.752, 0.752, 0.752], [0.500, 0.500, 0.500]],
  "dos_ef_per_ev_cell": 7.05,
  "formation_enthalpy_0k_mev_per_atom": -166,
  "mass_density_g_cm3": 7.24
}


{
  "formula": "LaNbSeN2",
  "functional": "PBE",
  "state": "optimized geometry",
  "lattice_angstrom": [[4.176, 0.000, 0.000], [0.000, 4.176, 0.000], [0.000, 0.000, 5.101]],
  "species": ["La", "Nb", "Se", "N", "N"],
  "frac_coords": [[0.000, 0.000, 0.000], [0.500, 0.500, 0.500], [0.500, 0.500, 0.000], [0.000, 0.500, 0.500], [0.500, 0.000, 0.500]],
  "dos_ef_per_ev_cell": 2.66,
  "raw_formation_energy_mev_per_atom": -753,
  "mass_density_g_cm3": 6.32,
  "relative_energy_ev_per_atom": 0.000
}


{
  "formula": "Ac2HoHg2",
  "functional": "PBE",
  "state": "optimized geometry",
  "lattice_angstrom": [[-2.074, 3.769, 5.406], [2.074, -3.769, 5.406], [2.074, 3.769, -5.406]],
  "species": ["Ac", "Ac", "Ho", "Hg", "Hg"],
  "frac_coords": [[0.210, 0.210, 0.000], [0.790, 0.790, 0.000], [0.500, 0.000, 0.500], [0.209, 0.500, 0.709], [0.791, 0.500, 0.291]],
  "dos_ef_per_ev_cell": 4.91,
  "formation_enthalpy_0k_mev_per_atom": -331,
  "mass_density_g_cm3": 10.02
}


{
  "formula": "MoH3Ru",
  "functional": "PBE",
  "state": "optimized geometry",
  "lattice_angstrom": [[3.406, 0.000, 0.000], [0.000, 3.406, 0.000], [0.000, 0.000, 3.406]],
  "species": ["Mo", "H", "H", "H", "Ru"],
  "frac_coords": [[0.000, 0.000, 0.000], [0.000, 0.500, 0.500], [0.500, 0.000, 0.500], [0.500, 0.500, 0.000], [0.500, 0.500, 0.500]],
  "dos_ef_per_ev_cell": 3.57,
  "mass_density_g_cm3": 8.41,
  "relative_energy_ev_per_atom": 0.000
}


{
  "formula": "ZnCd2Cl",
  "functional": "PBE",
  "state": "optimized geometry",
  "lattice_angstrom": [[5.318, 0.000, 0.000], [0.000, 5.318, 0.000], [0.000, 0.000, 3.119]],
  "species": ["Zn", "Cd", "Cd", "Cl"],
  "frac_coords": [[0.000, 0.000, 0.000], [0.000, 0.500, 0.500], [0.500, 0.000, 0.500], [0.500, 0.500, 0.000]],
  "dos_ef_per_ev_cell": 1.45,
  "raw_formation_energy_mev_per_atom": -83,
  "mass_density_g_cm3": 6.13,
  "relative_energy_ev_per_atom": 0.164
}


{
  "formula": "La3NbCr",
  "functional": "PBE",
  "state": "optimized geometry",
  "lattice_angstrom": [[5.599, 0.000, 0.000], [0.000, 5.599, 0.000], [0.000, 0.000, 5.599]],
  "species": ["La", "La", "La", "Nb", "Cr"],
  "frac_coords": [[0.000, 0.000, 0.500], [0.000, 0.500, 0.000], [0.500, 0.000, 0.000], [0.000, 0.000, 0.000], [0.500, 0.500, 0.500]],
  "dos_ef_per_ev_cell": 5.00,
  "formation_enthalpy_0k_mev_per_atom": 709,
  "mass_density_g_cm3": 5.31,
  "relative_energy_ev_per_atom": 0.000
}


{
  "formula": "TaRu3N",
  "functional": "PBE",
  "state": "optimized geometry",
  "lattice_angstrom": [[4.779, 0.000, 0.000], [0.000, 4.779, 0.000], [0.000, 0.000, 4.779]],
  "species": ["Ta", "Ru", "Ru", "Ru", "N"],
  "frac_coords": [[0.000, 0.000, 0.000], [0.000, 0.000, 0.500], [0.000, 0.500, 0.000], [0.500, 0.000, 0.000], [0.500, 0.500, 0.500]],
  "dos_ef_per_ev_cell": 3.22,
  "raw_formation_energy_mev_per_atom": 2719,
  "mass_density_g_cm3": 7.58,
  "relative_energy_ev_per_atom": 2.710
}


{
  "formula": "Sc2TcSbMo",
  "functional": "PBE",
  "state": "optimized geometry",
  "lattice_angstrom": [[4.915, 0.000, 0.000], [0.000, 4.915, 0.000], [0.000, 0.000, 5.062]],
  "species": ["Sc", "Sc", "Tc", "Sb", "Mo"],
  "frac_coords": [[0.000, 0.500, 0.000], [0.500, 0.000, 0.000], [0.000, 0.000, 0.000], [0.000, 0.000, 0.500], [0.500, 0.500, 0.500]],
  "dos_ef_per_ev_cell": 2.36,
  "raw_formation_energy_mev_per_atom": 658,
  "mass_density_g_cm3": 5.51
}


{
  "formula": "Tm2C2S",
  "functional": "PBE",
  "state": "optimized geometry",
  "lattice_angstrom": [[6.817, -1.890, 0.000], [6.817, 1.890, 0.000], [-1.754, 0.000, 6.370]],
  "species": ["Tm", "Tm", "Tm", "Tm", "C", "C", "C", "C", "S", "S"],
  "frac_coords": [[0.077, 0.654, 0.842], [0.346, 0.923, 0.658], [0.654, 0.077, 0.342], [0.923, 0.346, 0.158], [0.127, 0.438, 0.463], [0.438, 0.127, 0.963], [0.562, 0.873, 0.037], [0.873, 0.562, 0.537], [0.275, 0.725, 0.250], [0.725, 0.275, 0.750]],
  "dos_ef_per_ev_cell": 2.82,
  "raw_formation_energy_mev_per_atom": -958,
  "mass_density_g_cm3": 7.97
}


{
  "formula": "RbTlS2",
  "functional": "PBE",
  "state": "optimized geometry",
  "lattice_angstrom": [[6.115, 0.000, 0.000], [-1.888, 6.596, 0.000], [-0.877, -1.359, 6.718]],
  "species": ["Rb", "Rb", "Tl", "Tl", "S", "S", "S", "S"],
  "frac_coords": [[0.218, 0.395, 0.201], [0.782, 0.605, 0.799], [0.310, 0.992, 0.690], [0.690, 0.008, 0.310], [0.094, 0.851, 0.263], [0.204, 0.379, 0.704], [0.796, 0.621, 0.296], [0.906, 0.149, 0.737]],
  "dos_ef_per_ev_cell": 0.00,
  "raw_formation_energy_mev_per_atom": -580,
  "mass_density_g_cm3": 4.34,
  "relative_energy_ev_per_atom": 0.056
}


{
  "formula": "CuSbRh2",
  "functional": "PBE",
  "state": "optimized geometry",
  "lattice_angstrom": [[4.098, 0.000, 0.000], [0.000, 4.098, 0.000], [0.000, 0.000, 3.620]],
  "species": ["Cu", "Sb", "Rh", "Rh"],
  "frac_coords": [[0.000, 0.000, 0.000], [0.500, 0.500, 0.000], [0.000, 0.500, 0.500], [0.500, 0.000, 0.500]],
  "dos_ef_per_ev_cell": 1.26,
  "raw_formation_energy_mev_per_atom": -230,
  "mass_density_g_cm3": 10.69,
  "relative_energy_ev_per_atom": 0.074
}


{
  "formula": "TcAg",
  "functional": "PBE",
  "state": "optimized geometry",
  "lattice_angstrom": [[6.456, -1.402, 0.000], [6.456, 1.402, 0.000], [-1.323, 0.000, 5.450]],
  "species": ["Tc", "Tc", "Tc", "Ag", "Ag", "Ag"],
  "frac_coords": [[0.000, 0.000, 0.000], [0.003, 0.003, 0.536], [0.380, 0.380, 0.201], [0.336, 0.336, 0.673], [0.668, 0.668, 0.351], [0.685, 0.685, 0.875]],
  "dos_ef_per_ev_cell": 4.93,
  "formation_enthalpy_0k_mev_per_atom": 458,
  "mass_density_g_cm3": 10.40,
  "relative_energy_ev_per_atom": 0.286
}


{
  "formula": "La3ZnRh",
  "functional": "PBE",
  "state": "optimized geometry",
  "lattice_angstrom": [[5.544, 0.000, 0.000], [-2.738, 5.913, 0.000], [-0.060, -3.555, 8.661]],
  "species": ["La", "La", "La", "La", "La", "La", "Zn", "Zn", "Rh", "Rh"],
  "frac_coords": [[0.124, 0.243, 0.416], [0.342, 0.687, 0.852], [0.375, 0.749, 0.222], [0.625, 0.251, 0.778], [0.658, 0.313, 0.148], [0.876, 0.757, 0.584], [0.091, 0.179, 0.952], [0.909, 0.821, 0.048], [0.388, 0.782, 0.552], [0.612, 0.218, 0.448]],
  "dos_ef_per_ev_cell": 8.95,
  "formation_enthalpy_0k_mev_per_atom": -425,
  "mass_density_g_cm3": 6.84,
  "relative_energy_ev_per_atom": 0.006
}


{
  "formula": "In3Ag4",
  "functional": "PBE",
  "state": "optimized geometry",
  "lattice_angstrom": [[5.864, 0.000, 0.000], [-2.932, 5.078, 0.000], [0.000, 0.000, 5.300]],
  "species": ["In", "In", "In", "Ag", "Ag", "Ag", "Ag"],
  "frac_coords": [[0.000, 0.500, 0.000], [0.500, 0.000, 0.000], [0.500, 0.500, 0.000], [0.000, 0.000, 0.251], [0.000, 0.000, 0.749], [0.333, 0.667, 0.500], [0.667, 0.333, 0.500]],
  "dos_ef_per_ev_cell": 3.09,
  "formation_enthalpy_0k_mev_per_atom": 245,
  "mass_density_g_cm3": 8.16,
  "relative_energy_ev_per_atom": 0.242
}


{
  "formula": "Rb3Tb2HoO6",
  "functional": "PBE",
  "state": "optimized geometry",
  "lattice_angstrom": [[3.048, -5.279, 0.000], [3.048, 5.279, 0.000], [-2.033, 0.000, 6.564]],
  "species": ["Rb", "Rb", "Rb", "Tb", "Tb", "Ho", "O", "O", "O", "O", "O", "O"],
  "frac_coords": [[0.000, 0.000, 0.000], [0.333, 0.667, 0.000], [0.667, 0.333, 0.000], [0.167, 0.833, 0.500], [0.833, 0.167, 0.500], [0.500, 0.500, 0.500], [0.111, 0.441, 0.324], [0.228, 0.228, 0.676], [0.441, 0.111, 0.324], [0.559, 0.889, 0.676], [0.772, 0.772, 0.324], [0.889, 0.559, 0.676]],
  "dos_ef_per_ev_cell": 0.00,
  "raw_formation_energy_mev_per_atom": -2691,
  "mass_density_g_cm3": 6.57
}


{
  "formula": "InAgB2",
  "functional": "PBE",
  "state": "optimized geometry",
  "lattice_angstrom": [[-1.942, 1.942, 8.048], [1.942, -1.942, 8.048], [1.942, 1.942, -8.048]],
  "species": ["In", "In", "Ag", "Ag", "B", "B", "B", "B"],
  "frac_coords": [[0.375, 0.625, 0.750], [0.625, 0.375, 0.250], [0.125, 0.875, 0.250], [0.875, 0.125, 0.750], [0.000, 0.000, 0.000], [0.000, 0.000, 0.500], [0.000, 0.500, 0.000], [0.500, 0.000, 0.500]],
  "dos_ef_per_ev_cell": 3.08,
  "formation_enthalpy_0k_mev_per_atom": 994,
  "mass_density_g_cm3": 6.68
}


{
  "formula": "KSn2P2",
  "functional": "PBE",
  "state": "optimized geometry",
  "lattice_angstrom": [[8.491, 0.000, 0.000], [0.000, 8.491, 0.000], [0.000, 0.000, 3.590]],
  "species": ["K", "K", "Sn", "Sn", "Sn", "Sn", "P", "P", "P", "P"],
  "frac_coords": [[0.000, 0.000, 0.000], [0.500, 0.500, 0.000], [0.127, 0.373, 0.000], [0.373, 0.873, 0.000], [0.627, 0.127, 0.000], [0.873, 0.627, 0.000], [0.139, 0.639, 0.500], [0.361, 0.139, 0.500], [0.639, 0.861, 0.500], [0.861, 0.361, 0.500]],
  "dos_ef_per_ev_cell": 3.30,
  "formation_enthalpy_0k_mev_per_atom": 108,
  "mass_density_g_cm3": 4.34
}


{
  "formula": "Y3UPd12",
  "functional": "PBE",
  "state": "optimized geometry",
  "lattice_angstrom": [[4.137, 0.000, 0.000], [0.000, 4.137, 0.000], [0.000, 0.000, 16.476]],
  "species": ["Y", "Y", "Y", "U", "Pd", "Pd", "Pd", "Pd", "Pd", "Pd", "Pd", "Pd", "Pd", "Pd", "Pd", "Pd"],
  "frac_coords": [[0.000, 0.000, 0.000], [0.000, 0.000, 0.247], [0.000, 0.000, 0.753], [0.000, 0.000, 0.500], [0.000, 0.500, 0.126], [0.000, 0.500, 0.379], [0.000, 0.500, 0.621], [0.000, 0.500, 0.874], [0.500, 0.000, 0.126], [0.500, 0.000, 0.379], [0.500, 0.000, 0.621], [0.500, 0.000, 0.874], [0.500, 0.500, 0.000], [0.500, 0.500, 0.252], [0.500, 0.500, 0.500], [0.500, 0.500, 0.748]],
  "dos_ef_per_ev_cell": 12.52,
  "formation_enthalpy_0k_mev_per_atom": -793,
  "mass_density_g_cm3": 10.49
}


{
  "formula": "Fe2NiIr",
  "functional": "PBE",
  "state": "optimized geometry",
  "lattice_angstrom": [[2.625, 0.000, 0.000], [0.000, 3.622, 0.000], [0.000, 0.000, 5.194]],
  "species": ["Fe", "Fe", "Ni", "Ir"],
  "frac_coords": [[0.000, 0.000, 0.242], [0.000, 0.000, 0.758], [0.500, 0.500, 0.000], [0.500, 0.500, 0.500]],
  "dos_ef_per_ev_cell": 5.17,
  "formation_enthalpy_0k_mev_per_atom": -21,
  "mass_density_g_cm3": 12.19
}


{
  "formula": "In2OsSe",
  "functional": "PBE",
  "state": "optimized geometry",
  "lattice_angstrom": [[-3.111, 3.111, 6.265], [3.111, -3.111, 6.265], [3.111, 3.111, -6.265]],
  "species": ["In", "In", "In", "In", "Os", "Os", "Se", "Se"],
  "frac_coords": [[0.102, 0.625, 0.977], [0.375, 0.352, 0.477], [0.648, 0.125, 0.023], [0.875, 0.898, 0.523], [0.000, 0.000, 0.000], [0.750, 0.250, 0.500], [0.250, 0.750, 0.500], [0.500, 0.500, 0.000]],
  "dos_ef_per_ev_cell": 0.84,
  "raw_formation_energy_mev_per_atom": 712,
  "mass_density_g_cm3": 6.83
}


{
  "formula": "AcAgO3",
  "functional": "PBE",
  "state": "optimized geometry",
  "lattice_angstrom": [[4.157, 0.000, 0.000], [0.000, 4.157, 0.000], [0.000, 0.000, 4.157]],
  "species": ["Ac", "Ag", "O", "O", "O"],
  "frac_coords": [[0.000, 0.000, 0.000], [0.500, 0.500, 0.500], [0.000, 0.500, 0.500], [0.500, 0.000, 0.500], [0.500, 0.500, 0.000]],
  "dos_ef_per_ev_cell": 1.81,
  "raw_formation_energy_mev_per_atom": -1568,
  "mass_density_g_cm3": 8.85
}


{
  "formula": "Zn3AgSb",
  "functional": "PBE",
  "state": "optimized geometry",
  "lattice_angstrom": [[4.883, 0.000, 0.000], [0.000, 4.883, 0.000], [0.000, 0.000, 4.883]],
  "species": ["Zn", "Zn", "Zn", "Ag", "Sb"],
  "frac_coords": [[0.000, 0.000, 0.500], [0.000, 0.500, 0.000], [0.500, 0.000, 0.000], [0.000, 0.000, 0.000], [0.500, 0.500, 0.500]],
  "dos_ef_per_ev_cell": 3.05,
  "raw_formation_energy_mev_per_atom": 445,
  "mass_density_g_cm3": 6.07,
  "relative_energy_ev_per_atom": 0.000
}


{
  "formula": "Nd6Co2PdBr3",
  "functional": "PBE",
  "state": "optimized geometry",
  "lattice_angstrom": [[9.761, -2.036, 0.000], [9.761, 2.036, 0.000], [-3.342, 0.000, 8.486]],
  "species": ["Nd", "Nd", "Nd", "Nd", "Nd", "Nd", "Co", "Co", "Pd", "Br", "Br", "Br"],
  "frac_coords": [[0.020, 0.020, 0.236], [0.319, 0.319, 0.446], [0.338, 0.338, 0.871], [0.662, 0.662, 0.129], [0.681, 0.681, 0.554], [0.980, 0.980, 0.764], [0.168, 0.168, 0.337], [0.832, 0.832, 0.663], [0.500, 0.500, 0.000], [0.166, 0.166, 0.834], [0.500, 0.500, 0.500], [0.834, 0.834, 0.166]],
  "dos_ef_per_ev_cell": 5.98,
  "raw_formation_energy_mev_per_atom": -825,
  "mass_density_g_cm3": 6.55
}


{
  "formula": "SmPu2ThSb4",
  "functional": "PBE",
  "state": "optimized geometry",
  "lattice_angstrom": [[7.715, 0.000, 0.000], [0.000, 4.477, 0.000], [-2.591, 0.000, 7.296]],
  "species": ["Sm", "Pu", "Pu", "Th", "Sb", "Sb", "Sb", "Sb"],
  "frac_coords": [[0.000, 0.000, 0.000], [0.500, 0.000, 0.500], [0.500, 0.500, 0.000], [0.000, 0.500, 0.500], [0.254, 0.500, 0.251], [0.255, 0.000, 0.753], [0.745, 0.000, 0.247], [0.746, 0.500, 0.749]],
  "dos_ef_per_ev_cell": 26.72,
  "raw_formation_energy_mev_per_atom": -854,
  "mass_density_g_cm3": 8.95
}


{
  "formula": "K2CoAsIr",
  "functional": "PBE",
  "state": "optimized geometry",
  "lattice_angstrom": [[6.362, 0.000, 0.000], [0.000, 6.362, 0.000], [0.000, 0.000, 4.564]],
  "species": ["K", "K", "Co", "As", "Ir"],
  "frac_coords": [[0.000, 0.500, 0.000], [0.500, 0.000, 0.000], [0.000, 0.000, 0.500], [0.500, 0.500, 0.500], [0.500, 0.500, 0.000]],
  "dos_ef_per_ev_cell": 6.23,
  "formation_enthalpy_0k_mev_per_atom": 756,
  "mass_density_g_cm3": 3.63
}


{
  "formula": "Pu2TlPd",
  "functional": "PBE",
  "state": "optimized geometry",
  "lattice_angstrom": [[0.000, 3.687, 3.687], [3.687, 0.000, 3.687], [3.687, 3.687, 0.000]],
  "species": ["Pu", "Pu", "Tl", "Pd"],
  "frac_coords": [[0.250, 0.250, 0.250], [0.750, 0.750, 0.750], [0.000, 0.000, 0.000], [0.500, 0.500, 0.500]],
  "dos_ef_per_ev_cell": 17.32,
  "formation_enthalpy_0k_mev_per_atom": -72,
  "mass_density_g_cm3": 13.23,
  "relative_energy_ev_per_atom": 0.120
}